[1]
# KOs3F | the Alexandria database | PBEsol | optimized geometry
# Formation energy (no corrections)   2.264 eV per atom
# Volume   83 Å³/cell
data_KOs3F
_chemical_formula_sum 'K1 Os3 F1'
_cell_length_a 4.359
_cell_length_b 4.359
_cell_length_c 4.359
_cell_angle_alpha 90.00
_cell_angle_beta 90.00
_cell_angle_gamma 90.00
_space_group_name_H-M_alt 'P m -3 m'
_space_group_IT_number 221
_space_group_name_Hall '-P 4 2 3'
loop_
_atom_site_label
_atom_site_type_symbol
_atom_site_fract_x
_atom_site_fract_y
_atom_site_fract_z
K1 K 0.000 0.000 0.000
Os1 Os 0.000 0.500 0.500
F1 F 0.500 0.500 0.500

---

[2]
# K2SiPbF | the Alexandria database | PBEsol | optimized geometry
# Formation energy (no corrections)   -0.325 eV per atom
# Volume   210 Å³/cell
data_K2SiPbF
_chemical_formula_sum 'K2 Si1 Pb1 F1'
_cell_length_a 6.424
_cell_length_b 6.424
_cell_length_c 5.086
_cell_angle_alpha 90.00
_cell_angle_beta 90.00
_cell_angle_gamma 90.00
_space_group_name_H-M_alt 'P 4/m m m'
_space_group_IT_number 123
_space_group_name_Hall '-P 4 2'
loop_
_atom_site_label
_atom_site_type_symbol
_atom_site_fract_x
_atom_site_fract_y
_atom_site_fract_z
K1 K 0.000 0.500 0.000
Si1 Si 0.000 0.000 0.000
Pb1 Pb 0.000 0.000 0.500
F1 F 0.500 0.500 0.500

---

[3]
# KZrPbF2 | the Alexandria database | PBEsol | optimized geometry
# Formation energy (no corrections)   -0.465 eV per atom
# Volume   142 Å³/cell
data_KZrPbF2
_chemical_formula_sum 'K1 Zr1 Pb1 F2'
_cell_length_a 4.882
_cell_length_b 4.882
_cell_length_c 5.952
_cell_angle_alpha 90.00
_cell_angle_beta 90.00
_cell_angle_gamma 90.00
_space_group_name_H-M_alt 'P 4/m m m'
_space_group_IT_number 123
_space_group_name_Hall '-P 4 2'
loop_
_atom_site_label
_atom_site_type_symbol
_atom_site_fract_x
_atom_site_fract_y
_atom_site_fract_z
K1 K 0.000 0.000 0.000
Zr1 Zr 0.500 0.500 0.000
Pb1 Pb 0.500 0.500 0.500
F1 F 0.000 0.500 0.500

---

[4]
# KPd3F | the Alexandria database | PBEsol | optimized geometry
# Formation energy (no corrections)   1.516 eV per atom
# Volume   119 Å³/cell
data_KPd3F
_chemical_formula_sum 'K1 Pd3 F1'
_cell_length_a 4.919
_cell_length_b 4.919
_cell_length_c 4.919
_cell_angle_alpha 90.00
_cell_angle_beta 90.00
_cell_angle_gamma 90.00
_space_group_name_H-M_alt 'P m -3 m'
_space_group_IT_number 221
_space_group_name_Hall '-P 4 2 3'
loop_
_atom_site_label
_atom_site_type_symbol
_atom_site_fract_x
_atom_site_fract_y
_atom_site_fract_z
K1 K 0.000 0.000 0.000
Pd1 Pd 0.000 0.000 0.500
F1 F 0.500 0.500 0.500

---

[5]
# KPdF3 | the Alexandria database | PBEsol | optimized geometry
# Formation energy (no corrections)   -1.848 eV per atom
# Volume   75 Å³/cell
data_KPdF3
_chemical_formula_sum 'K1 Pd1 F3'
_cell_length_a 4.218
_cell_length_b 4.218
_cell_length_c 4.218
_cell_angle_alpha 90.00
_cell_angle_beta 90.00
_cell_angle_gamma 90.00
_space_group_name_H-M_alt 'P m -3 m'
_space_group_IT_number 221
_space_group_name_Hall '-P 4 2 3'
loop_
_atom_site_label
_atom_site_type_symbol
_atom_site_fract_x
_atom_site_fract_y
_atom_site_fract_z
K1 K 0.000 0.000 0.000
Pd1 Pd 0.500 0.500 0.500
F1 F 0.000 0.500 0.500

---

[6]
# K2PdF4 | the Alexandria database | PBEsol | optimized geometry
# Formation energy (no corrections)   -2.169 eV per atom
# Volume   240 Å³/cell
data_K2PdF4
_chemical_formula_sum 'K4 Pd2 F8'
_cell_length_a 9.558
_cell_length_b 5.876
_cell_length_c 4.282
_cell_angle_alpha 90.00
_cell_angle_beta 92.30
_cell_angle_gamma 90.00
_space_group_name_H-M_alt 'C 1 2/m 1'
_space_group_IT_number 12
_space_group_name_Hall '-C 2y'
loop_
_atom_site_label
_atom_site_type_symbol
_atom_site_fract_x
_atom_site_fract_y
_atom_site_fract_z
K1 K 0.153 0.000 0.224
Pd1 Pd 0.000 0.500 0.500
F1 F 0.108 0.261 0.720

---

[7]
# K2Pd2F | the Alexandria database | PBEsol | optimized geometry
# Formation energy (no corrections)   -0.241 eV per atom
# Volume   258 Å³/cell
data_K2Pd2F
_chemical_formula_sum 'K4 Pd4 F2'
_cell_length_a 6.164
_cell_length_b 6.164
_cell_length_c 6.791
_cell_angle_alpha 90.00
_cell_angle_beta 90.00
_cell_angle_gamma 90.00
_space_group_name_H-M_alt 'I 4/m m m'
_space_group_IT_number 139
_space_group_name_Hall '-I 4 2'
loop_
_atom_site_label
_atom_site_type_symbol
_atom_site_fract_x
_atom_site_fract_y
_atom_site_fract_z
K1 K 0.000 0.500 0.250
Pd1 Pd 0.000 0.000 0.179
F1 F 0.000 0.000 0.500

---

[8]
# KRb2PdF6 | the Alexandria database | PBEsol | optimized geometry
# Formation energy (no corrections)   -2.228 eV per atom
# Volume   717 Å³/cell
data_KRb2PdF6
_chemical_formula_sum 'K4 Rb8 Pd4 F24'
_cell_length_a 8.950
_cell_length_b 8.950
_cell_length_c 8.950
_cell_angle_alpha 90.00
_cell_angle_beta 90.00
_cell_angle_gamma 90.00
_space_group_name_H-M_alt 'F m -3 m'
_space_group_IT_number 225
_space_group_name_Hall '-F 4 2 3'
loop_
_atom_site_label
_atom_site_type_symbol
_atom_site_fract_x
_atom_site_fract_y
_atom_site_fract_z
K1 K 0.000 0.000 0.000
Rb1 Rb 0.250 0.250 0.250
Pd1 Pd 0.000 0.000 0.500
F1 F 0.000 0.000 0.274

---

[9]
# K2RbPdF5 | the Alexandria database | PBEsol | optimized geometry
# Formation energy (no corrections)   -2.283 eV per atom
# Volume   316 Å³/cell
data_K2RbPdF5
_chemical_formula_sum 'K4 Rb2 Pd2 F10'
_cell_length_a 7.148
_cell_length_b 7.148
_cell_length_c 6.195
_cell_angle_alpha 90.00
_cell_angle_beta 90.00
_cell_angle_gamma 90.00
_space_group_name_H-M_alt 'P 4/m b m'
_space_group_IT_number 127
_space_group_name_Hall '-P 4 2ab'
loop_
_atom_site_label
_atom_site_type_symbol
_atom_site_fract_x
_atom_site_fract_y
_atom_site_fract_z
K1 K 0.174 0.326 0.000
Rb1 Rb 0.000 0.000 0.500
Pd1 Pd 0.000 0.500 0.500
F1 F 0.000 0.000 0.000
F2 F 0.136 0.636 0.277

---

[10]
# K2TlPdF6 | the Alexandria database | PBEsol | optimized geometry
# Formation energy (no corrections)   -1.994 eV per atom
# Volume   712 Å³/cell
data_K2TlPdF6
_chemical_formula_sum 'K8 Tl4 Pd4 F24'
_cell_length_a 8.929
_cell_length_b 8.929
_cell_length_c 8.929
_cell_angle_alpha 90.00
_cell_angle_beta 90.00
_cell_angle_gamma 90.00
_space_group_name_H-M_alt 'F m -3 m'
_space_group_IT_number 225
_space_group_name_Hall '-F 4 2 3'
loop_
_atom_site_label
_atom_site_type_symbol
_atom_site_fract_x
_atom_site_fract_y
_atom_site_fract_z
K1 K 0.250 0.250 0.250
Tl1 Tl 0.000 0.000 0.000
Pd1 Pd 0.000 0.000 0.500
F1 F 0.000 0.000 0.269

---

[11]
# KZrPdF7 | the Alexandria database | PBEsol | optimized geometry
# Formation energy (no corrections)   -2.791 eV per atom
# Volume   573 Å³/cell
data_KZrPdF7
_chemical_formula_sum 'K4 Zr4 Pd4 F28'
_cell_length_a 11.396
_cell_length_b 7.935
_cell_length_c 6.341
_cell_angle_alpha 90.00
_cell_angle_beta 90.00
_cell_angle_gamma 90.00
_space_group_name_H-M_alt 'P n n a'
_space_group_IT_number 52
_space_group_name_Hall '-P 2a 2bc'
loop_
_atom_site_label
_atom_site_type_symbol
_atom_site_fract_x
_atom_site_fract_y
_atom_site_fract_z
K1 K 0.250 0.000 0.228
Zr1 Zr 0.092 0.250 0.750
Pd1 Pd 0.100 0.750 0.750
F1 F 0.046 0.176 0.446
F2 F 0.083 0.750 0.250
F3 F 0.106 0.010 0.860
F4 F 0.245 0.203 0.565

---

[12]
# KPrF4 | the Alexandria database | PBEsol | optimized geometry
# Formation energy (no corrections)   -3.715 eV per atom
# Volume   362 Å³/cell
data_KPrF4
_chemical_formula_sum 'K4 Pr4 F16'
_cell_length_a 6.211
_cell_length_b 3.749
_cell_length_c 15.547
_cell_angle_alpha 90.00
_cell_angle_beta 90.00
_cell_angle_gamma 90.00
_space_group_name_H-M_alt 'P n m a'
_space_group_IT_number 62
_space_group_name_Hall '-P 2ac 2n'
loop_
_atom_site_label
_atom_site_type_symbol
_atom_site_fract_x
_atom_site_fract_y
_atom_site_fract_z
K1 K 0.219 0.250 0.203
Pr1 Pr 0.248 0.750 0.439
F1 F 0.006 0.250 0.059
F2 F 0.091 0.250 0.805
F3 F 0.101 0.250 0.365
F4 F 0.137 0.250 0.536